Here is an optimized crystal structure of Mn2AgHg from the Alexandria database. Energies are from GGA-PBE.

Properties
E_form, eV per atom: 0.411
Spin magnetization, Bohr magnetons per cell: 7.9
VASP energy, eV/atom: -4.962

a b c (Å): 9.2103 9.2103 9.2103
angles (deg): 18.87 18.87 18.87
Closest atoms and distances in Å follow each position.
Atoms (fractional coordinates):
Ag  0.2500  0.2500  0.2500  6 Mn 2.82, 6 Ag 3.02
Hg  0.7500  0.7500  0.7500  6 Mn 2.89, 6 Hg 3.02
Mn  0.9982  0.9982  0.9982  3 Ag 2.82, 3 Hg 2.89, 6 Mn 3.02
Mn  0.5018  0.5018  0.5018  3 Ag 2.82, 3 Hg 2.89, 6 Mn 3.02